(1)
In2TcAg: PBEsol geometry, SCAN.

Cell lengths 2.9849, 2.9849, 9.0934 Å; angles 90.00, 90.00, 115.42 degrees
Element x y z (fractional)
In  0.0000  0.0000  0.2406
In  0.0000  0.0000  0.7594
Tc  0.5000  0.5000  0.0000
Ag  0.5000  0.5000  0.5000

Calculated total energy ... -131.9 eV per cell
Symmetry ... Cmmm (65)

(2)
InTcAg2: PBEsol geometry, SCAN.

Cell lengths 3.7564, 4.0906, 4.3372 Å; angles 90.00, 90.00, 90.00 degrees
Element x y z (fractional)
In  0.0000  0.0000  0.0000
Tc  0.5000  0.5000  0.0000
Ag  0.0000  0.5000  0.5000
Ag  0.5000  0.0000  0.5000

Calculated total energy ... -129.8 eV per cell
Symmetry ... Pmmm (47)

(3)
InTc2Ag: PBEsol geometry, SCAN.

Cell lengths 4.7314, 4.7314, 4.7314 Å; angles 128.50, 128.50, 75.82 degrees
Element x y z (fractional)
In  0.0000  0.0000  0.0000
Tc  0.5000  0.5000  0.0000
Tc  0.7500  0.2500  0.5000
Ag  0.2500  0.7500  0.5000

Calculated total energy ... -133.2 eV per cell
Symmetry ... I-4m2 (119)

(4)
In3TcAg: PBEsol geometry, SCAN.

Cell lengths 5.0899, 5.0899, 5.0899 Å; angles 90.00, 90.00, 90.00 degrees
Element x y z (fractional)
In  0.0000  0.0000  0.5000
In  0.0000  0.5000  0.0000
In  0.5000  0.0000  0.0000
Tc  0.0000  0.0000  0.0000
Ag  0.5000  0.5000  0.5000

Calculated total energy ... -164.0 eV per cell
Symmetry ... Pm-3m (221)

(5)
In2TcAg: PBEsol geometry, SCAN.

Cell lengths 5.3994, 5.3994, 4.7210 Å; angles 108.26, 108.26, 33.62 degrees
Element x y z (fractional)
In  0.0000  0.0000  0.0000
In  0.2323  0.2323  0.6134
Tc  0.7381  0.7381  0.1067
Ag  0.4765  0.4765  0.4788

Calculated total energy ... -132.3 eV per cell
Symmetry ... Cm (8)

(6)
InTcAg2: PBEsol geometry, SCAN.

Cell lengths 2.7492, 4.3124, 5.6612 Å; angles 90.00, 90.00, 90.00 degrees
Element x y z (fractional)
In  0.0000  0.0000  0.0000
Tc  0.0000  0.0000  0.5000
Ag  0.5000  0.5000  0.2617
Ag  0.5000  0.5000  0.7383

Calculated total energy ... -129.4 eV per cell
Symmetry ... Pmmm (47)

(7)
ZnInTcAg2: PBEsol geometry, SCAN.

Cell lengths 4.9831, 4.9831, 4.7495 Å; angles 90.00, 90.00, 90.00 degrees
Element x y z (fractional)
Zn  0.0000  0.0000  0.0000
In  0.0000  0.0000  0.5000
Tc  0.5000  0.5000  0.0000
Ag  0.0000  0.5000  0.5000
Ag  0.5000  0.0000  0.5000

Calculated total energy ... -138.0 eV per cell
Symmetry ... P4/mmm (123)

(8)
In2AgTe: PBEsol geometry, SCAN.

Cell lengths 10.6233, 10.6233, 10.6233 Å; angles 17.67, 17.67, 17.67 degrees
Element x y z (fractional)
In  0.0000  0.0000  0.0000
In  0.2467  0.2467  0.2467
Ag  0.7380  0.7380  0.7380
Te  0.4790  0.4790  0.4790

Symmetry ... R3m (160)
Formation energy from raw total energies ... 0.1277 eV per atom

(9)
In2AgTe: PBEsol geometry, SCAN.

Cell lengths 3.4224, 3.4224, 8.0830 Å; angles 90.00, 90.00, 90.00 degrees
Element x y z (fractional)
In  0.0000  0.0000  0.2174
In  0.0000  0.0000  0.7826
Ag  0.5000  0.5000  0.0000
Te  0.5000  0.5000  0.5000

Symmetry ... P4/mmm (123)
Formation energy from raw total energies ... 0.0964 eV per atom

(10)
In5AgTe8: PBEsol geometry, SCAN.

Cell lengths 6.1812, 6.1812, 12.4169 Å; angles 90.00, 90.00, 90.00 degrees
Element x y z (fractional)
In  0.0000  0.0000  0.0000
In  0.0000  0.5000  0.2575
In  0.0000  0.5000  0.7425
In  0.5000  0.0000  0.2575
In  0.5000  0.0000  0.7425
Ag  0.5000  0.5000  0.5000
Te  0.2241  0.2241  0.6066
Te  0.2241  0.7759  0.3934
Te  0.2818  0.2818  0.1109
Te  0.2818  0.7182  0.8891
Te  0.7182  0.2818  0.8891
Te  0.7182  0.7182  0.1109
Te  0.7759  0.2241  0.3934
Te  0.7759  0.7759  0.6066

Symmetry ... P-42m (111)
Formation energy from raw total energies ... -0.3327 eV per atom

(11)
InAg2Te2: PBEsol geometry, SCAN.

Cell lengths 8.1679, 8.1679, 8.1679 Å; angles 151.28, 151.28, 41.07 degrees
Element x y z (fractional)
In  0.0000  0.0000  0.0000
Ag  0.2500  0.7500  0.5000
Ag  0.7500  0.2500  0.5000
Te  0.3805  0.3805  0.0000
Te  0.6195  0.6195  0.0000

Symmetry ... I4/mmm (139)
Formation energy from raw total energies ... -0.0729 eV per atom

(12)
InAgTe: PBEsol geometry, SCAN.

Cell lengths 4.9613, 4.9613, 4.9613 Å; angles 60.00, 60.00, 60.00 degrees
Element x y z (fractional)
In  0.0000  0.0000  0.0000
Ag  0.5000  0.5000  0.5000
Te  0.7500  0.7500  0.7500

Symmetry ... F-43m (216)
Formation energy from raw total energies ... 0.0983 eV per atom

(13)
TiIn2Ag: PBEsol geometry, SCAN.

Cell lengths 4.7620, 4.7620, 4.7620 Å; angles 60.00, 60.00, 60.00 degrees
Element x y z (fractional)
Ti  0.0000  0.0000  0.0000
In  0.2500  0.2500  0.2500
In  0.7500  0.7500  0.7500
Ag  0.5000  0.5000  0.5000

Calculated total energy ... -114.1 eV per cell
Symmetry ... Fm-3m (225)

(14)
TlIn2Ag: PBEsol geometry, SCAN.

Cell lengths 3.2275, 3.2275, 8.9240 Å; angles 90.00, 90.00, 90.00 degrees
Element x y z (fractional)
Tl  0.0000  0.0000  0.0000
In  0.5000  0.5000  0.2870
In  0.5000  0.5000  0.7130
Ag  0.0000  0.0000  0.5000

Calculated total energy ... -170.3 eV per cell
Symmetry ... P4/mmm (123)

(15)
Tm2InAg: PBEsol geometry, SCAN.

Cell lengths 3.5189, 3.5189, 7.4710 Å; angles 90.00, 90.00, 90.00 degrees
Element x y z (fractional)
Tm  0.0000  0.0000  0.2353
Tm  0.0000  0.0000  0.7647
In  0.5000  0.5000  0.5000
Ag  0.5000  0.5000  0.0000

Calculated total energy ... -170.5 eV per cell
Symmetry ... P4/mmm (123)

(16)
InAg2W: PBEsol geometry, SCAN.

Cell lengths 9.6720, 9.6720, 9.6720 Å; angles 17.21, 17.21, 17.21 degrees
Element x y z (fractional)
In  0.0000  0.0000  0.0000
Ag  0.2472  0.2472  0.2472
Ag  0.4987  0.4987  0.4987
W  0.7514  0.7514  0.7514

Calculated total energy ... -164.1 eV per cell
Symmetry ... R3m (160)

(17)
InAg2W: PBEsol geometry, SCAN.

Cell lengths 2.8977, 4.8583, 4.9383 Å; angles 90.00, 90.00, 90.00 degrees
Element x y z (fractional)
In  0.0000  0.0000  0.0000
Ag  0.0000  0.5000  0.5000
Ag  0.5000  0.0000  0.5000
W  0.5000  0.5000  0.0000

Calculated total energy ... -163.5 eV per cell
Symmetry ... Pmmm (47)

(18)
Zn2InAg2: PBEsol geometry, SCAN.

Cell lengths 7.7194, 7.7194, 2.8952 Å; angles 90.00, 90.00, 90.00 degrees
Element x y z (fractional)
Zn  0.1686  0.3314  0.0000
Zn  0.3314  0.8314  0.0000
Zn  0.6686  0.1686  0.0000
Zn  0.8314  0.6686  0.0000
In  0.0000  0.0000  0.5000
In  0.5000  0.5000  0.5000
Ag  0.1290  0.6290  0.5000
Ag  0.3710  0.1290  0.5000
Ag  0.6290  0.8710  0.5000
Ag  0.8710  0.3710  0.5000

Calculated total energy ... -245.8 eV per cell
Symmetry ... P4/mbm (127)

(19)
Zn2InAg: PBEsol geometry, SCAN.

Cell lengths 3.1770, 3.9273, 5.5009 Å; angles 90.00, 90.00, 90.00 degrees
Element x y z (fractional)
Zn  0.0000  0.0000  0.2369
Zn  0.0000  0.0000  0.7631
In  0.5000  0.5000  0.5000
Ag  0.5000  0.5000  0.0000

Calculated total energy ... -91.4 eV per cell
Symmetry ... Pmmm (47)

(20)
Zn2InAg: PBEsol geometry, SCAN.

Cell lengths 4.6191, 4.6191, 4.6191 Å; angles 60.00, 60.00, 60.00 degrees
Element x y z (fractional)
Zn  0.0000  0.0000  0.0000
Zn  0.2500  0.2500  0.2500
In  0.7500  0.7500  0.7500
Ag  0.5000  0.5000  0.5000

Calculated total energy ... -91.0 eV per cell
Symmetry ... F-43m (216)

(21)
Zn2InAg: PBEsol geometry, SCAN.

Cell lengths 3.5191, 3.5191, 5.5487 Å; angles 90.00, 90.00, 90.00 degrees
Element x y z (fractional)
Zn  0.0000  0.0000  0.0000
Zn  0.5000  0.5000  0.2304
In  0.5000  0.5000  0.7373
Ag  0.0000  0.0000  0.4684

Calculated total energy ... -91.5 eV per cell
Symmetry ... P4mm (99)

(22)
Zr2InAg: PBEsol geometry, SCAN.

Cell lengths 5.1962, 5.1962, 3.1724 Å; angles 90.00, 90.00, 110.24 degrees
Element x y z (fractional)
Zr  0.0000  0.5000  0.0000
Zr  0.5000  0.0000  0.0000
In  0.0000  0.0000  0.5000
Ag  0.5000  0.5000  0.5000

Calculated total energy ... -127.2 eV per cell
Symmetry ... Cmmm (65)

(23)
Zr2InAg: PBEsol geometry, SCAN.

Cell lengths 5.5674, 5.5674, 5.0886 Å; angles 111.63, 111.63, 33.92 degrees
Element x y z (fractional)
Zr  0.0000  0.0000  0.0000
Zr  0.2436  0.2436  0.8234
In  0.7662  0.7662  0.3426
Ag  0.5002  0.5002  0.4918

Calculated total energy ... -127.0 eV per cell
Symmetry ... Cm (8)

(24)
Zr2InAg: PBEsol geometry, SCAN.

Cell lengths 5.2640, 5.2640, 5.2640 Å; angles 131.50, 131.50, 71.02 degrees
Element x y z (fractional)
Zr  0.2500  0.7500  0.5000
Zr  0.7500  0.2500  0.5000
In  0.0000  0.0000  0.0000
Ag  0.5000  0.5000  0.0000

Calculated total energy ... -127.2 eV per cell
Symmetry ... I4/mmm (139)

(25)
ZrIn2Ag: PBEsol geometry, SCAN.

Cell lengths 4.8837, 4.8837, 4.8837 Å; angles 60.00, 60.00, 60.00 degrees
Element x y z (fractional)
Zr  0.0000  0.0000  0.0000
In  0.5000  0.5000  0.5000
In  0.7500  0.7500  0.7500
Ag  0.2500  0.2500  0.2500

Calculated total energy ... -128.6 eV per cell
Symmetry ... F-43m (216)

(26)
ZrIn2Ag: PBEsol geometry, SCAN.

Cell lengths 4.8684, 4.8684, 4.8684 Å; angles 60.00, 60.00, 60.00 degrees
Element x y z (fractional)
Zr  0.0000  0.0000  0.0000
In  0.2500  0.2500  0.2500
In  0.7500  0.7500  0.7500
Ag  0.5000  0.5000  0.5000

Calculated total energy ... -128.9 eV per cell
Symmetry ... Fm-3m (225)

(27)
ZrIn2Ag: PBEsol geometry, SCAN.

Cell lengths 4.3733, 4.3733, 4.1913 Å; angles 90.00, 90.00, 90.00 degrees
Element x y z (fractional)
Zr  0.0000  0.0000  0.0000
In  0.0000  0.5000  0.5000
In  0.5000  0.0000  0.5000
Ag  0.5000  0.5000  0.0000

Calculated total energy ... -130.2 eV per cell
Symmetry ... P4/mmm (123)

(28)
Zr2InAg: PBEsol geometry, SCAN.

Cell lengths 3.1896, 4.2793, 5.8728 Å; angles 90.00, 90.00, 90.00 degrees
Element x y z (fractional)
Zr  0.0000  0.0000  0.2452
Zr  0.0000  0.0000  0.7548
In  0.5000  0.5000  0.5000
Ag  0.5000  0.5000  0.0000

Calculated total energy ... -127.2 eV per cell
Symmetry ... Pmmm (47)

(29)
Zr2InAg: PBEsol geometry, SCAN.

Cell lengths 3.1246, 3.1246, 8.3954 Å; angles 90.00, 90.00, 90.00 degrees
Element x y z (fractional)
Zr  0.0000  0.0000  0.0000
Zr  0.5000  0.5000  0.2689
In  0.5000  0.5000  0.7354
Ag  0.0000  0.0000  0.5119

Calculated total energy ... -126.9 eV per cell
Symmetry ... P4mm (99)

(30)
Zr2InAg: PBEsol geometry, SCAN.

Cell lengths 3.0788, 5.0044, 5.2319 Å; angles 90.00, 90.00, 90.00 degrees
Element x y z (fractional)
Zr  0.0000  0.0000  0.0000
Zr  0.0000  0.5000  0.3673
In  0.5000  0.0000  0.5033
Ag  0.5000  0.5000  0.8539

Calculated total energy ... -127.1 eV per cell
Symmetry ... Pmm2 (25)